[1]
# ErPuMo

A relaxed ErPuMo crystal (PBE, the Alexandria database).

- Energy of formation: 0.3155 eV/atom
- Space-group type: No. 59

a = 3.221 Å, b = 4.908 Å, c = 8.581 Å
α = 90.00°, β = 90.00°, γ = 90.00°
Fractional positions:
Er (0.250, 0.250, 0.114)
Er (0.750, 0.750, 0.886)
Pu (0.250, 0.250, 0.717)
Pu (0.750, 0.750, 0.283)
Mo (0.250, 0.750, 0.550)
Mo (0.750, 0.250, 0.450)

=====

[2]
# Dy4CuBr5

A relaxed Dy4CuBr5 crystal (PBE, the Alexandria database).

- Formation energy from raw total energies: -1.28 eV/atom
- Space-group type: No. 12

a = 9.315 Å, b = 9.315 Å, c = 8.490 Å
α = 102.34°, β = 102.34°, γ = 24.41°
Fractional positions:
Dy (0.001, 0.001, 0.222)
Dy (0.350, 0.350, 0.922)
Dy (0.650, 0.650, 0.078)
Dy (0.999, 0.999, 0.778)
Cu (0.500, 0.500, 0.000)
Br (0.168, 0.168, 0.336)
Br (0.176, 0.176, 0.835)
Br (0.500, 0.500, 0.500)
Br (0.824, 0.824, 0.165)
Br (0.832, 0.832, 0.664)

=====

[3]
# BaY2PuO8

A relaxed BaY2PuO8 crystal (PBE, the Alexandria database).

- Formation energy from raw total energies: -2.74 eV/atom
- Space-group type: No. 10

a = 5.142 Å, b = 7.494 Å, c = 5.147 Å
α = 90.00°, β = 90.12°, γ = 90.00°
Fractional positions:
Ba (0.000, 0.000, 0.000)
Y (0.500, 0.267, 0.500)
Y (0.500, 0.733, 0.500)
Pu (0.000, 0.500, 0.000)
O (0.187, 0.306, 0.188)
O (0.187, 0.694, 0.188)
O (0.288, 0.500, 0.713)
O (0.351, 0.000, 0.652)
O (0.649, 0.000, 0.348)
O (0.712, 0.500, 0.287)
O (0.813, 0.306, 0.812)
O (0.813, 0.694, 0.812)

=====

[4]
# Mn3SiAs

A relaxed Mn3SiAs crystal (PBE, the Alexandria database).

- Formation energy from raw total energies: 0.56 eV/atom
- Space-group type: No. 221

a = 4.430 Å, b = 4.430 Å, c = 4.430 Å
α = 90.00°, β = 90.00°, γ = 90.00°
Fractional positions:
Mn (0.000, 0.000, 0.500)
Mn (0.000, 0.500, 0.000)
Mn (0.500, 0.000, 0.000)
Si (0.000, 0.000, 0.000)
As (0.500, 0.500, 0.500)

=====

[5]
# LiLaNi2

A relaxed LiLaNi2 crystal (PBE, the Alexandria database).

- Relative energy among the computed polymorphs: 0.1264 eV per atom
- Energy of formation: -0.0258 eV/atom
- Space-group type: No. 123

a = 4.355 Å, b = 4.355 Å, c = 3.645 Å
α = 90.00°, β = 90.00°, γ = 90.00°
Fractional positions:
Li (0.000, 0.000, 0.000)
La (0.500, 0.500, 0.000)
Ni (0.000, 0.500, 0.500)
Ni (0.500, 0.000, 0.500)

=====

[6]
# Mn2Cu2Ir

A relaxed Mn2Cu2Ir crystal (PBE, the Alexandria database).

- Energy of formation: 0.6506 eV/atom
- Space-group type: No. 139

a = 7.008 Å, b = 7.008 Å, c = 7.008 Å
α = 154.26°, β = 154.26°, γ = 36.73°
Fractional positions:
Mn (0.250, 0.750, 0.500)
Mn (0.750, 0.250, 0.500)
Cu (0.102, 0.102, 0.000)
Cu (0.898, 0.898, 0.000)
Ir (0.500, 0.500, 0.000)